[1]
The following is a DFT calculation (PBE-GGA) of a geometry-optimized NpSi3Pt3 structure.

Unit cell a=6.6011 b=6.6011 c=6.6011 alpha=90.00 beta=90.00 gamma=90.00
Last column: nearest neighbours and their distance in Å.
Space group Pm-3n (No. 223)
Inequivalent atoms, fractional coordinates:
Np (0.0000, 0.0000, 0.0000) x2  12 Pt 3.69, 12 Si 3.69
Si (0.0000, 0.2500, 0.5000) x6  4 Pt 2.33
Pt (0.0000, 0.5000, 0.2500) x6  4 Si 2.33

Formation energy without anion corrections (eV per formula unit): -2.74



[2]
The following is a DFT calculation (PBE-GGA) of a geometry-optimized RbGa6Au3 structure.

Unit cell a=10.2616 b=6.8988 c=6.9215 alpha=90.00 beta=105.97 gamma=90.00
Last column: nearest neighbours and their distance in Å.
Space group C2/m (No. 12)
Inequivalent atoms, fractional coordinates:
Rb (0.0000, 0.0000, 0.0000) x2  6 Au 3.46-3.74
Ga (0.1518, 0.3015, 0.5930) x8  2 Au 2.57-2.61, 4 Ga 2.69-2.77
Ga (0.1835, 0.5000, 0.2674) x4  2 Au 2.58-2.77, 4 Ga 2.69-2.73
Au (0.0000, 0.0000, 0.5000) x2  4 Ga 2.57
Au (0.0964, 0.5000, 0.8810) x4  4 Ga 2.58-2.77

Total energy (eV per cell): -61.71



[3]
The following is a DFT calculation (PBE-GGA) of a geometry-optimized LaPr4Dy2Sc structure.

Unit cell a=5.1136 b=5.1346 c=10.1973 alpha=90.00 beta=90.05 gamma=90.00
Last column: nearest neighbours and their distance in Å.
Space group P2/m (No. 10)
Inequivalent atoms, fractional coordinates:
La (0.0000, 0.0000, 0.0000) x1  8 Pr 3.60-3.61, 4 Sc 3.62
Pr (0.9999, 0.5000, 0.2490) x2  2 Sc 3.60-3.61, 2 La 3.61, 4 Dy 3.62, 4 Pr 3.62
Pr (0.4996, 0.0000, 0.2496) x2  2 La 3.60-3.61, 4 Dy 3.61-3.62, 2 Sc 3.61, 4 Pr 3.62
Dy (0.0000, 0.0000, 0.5000) x1  8 Pr 3.61-3.62, 4 Dy 3.62
Dy (0.5000, 0.5000, 0.5000) x1  8 Pr 3.62, 4 Dy 3.62
Sc (0.5000, 0.5000, 0.0000) x1  8 Pr 3.60-3.61, 4 La 3.62

Total energy (eV per cell): -39.34



[4]
The following is a DFT calculation (PBE-GGA) of a geometry-optimized AcZnPt2 structure.

Unit cell a=3.4843 b=3.4843 c=6.8256 alpha=90.00 beta=90.00 gamma=90.00
Last column: nearest neighbours and their distance in Å.
Space group P4/mmm (No. 123)
Inequivalent atoms, fractional coordinates:
Ac (0.0000, 0.0000, 0.0000) x1  8 Pt 3.21, 2 Zn 3.41, 4 Ac 3.48
Zn (0.0000, 0.0000, 0.5000) x1  8 Pt 2.81
Pt (0.5000, 0.5000, 0.3005) x2  1 Pt 2.72, 4 Zn 2.81

Total energy (eV per cell): -19.99



[5]
The following is a DFT calculation (PBE-GGA) of a geometry-optimized Pr2ErPb9 structure.

Unit cell a=4.9263 b=4.9263 c=14.7326 alpha=90.00 beta=90.00 gamma=90.00
Last column: nearest neighbours and their distance in Å.
Space group P4/mmm (No. 123)
Inequivalent atoms, fractional coordinates:
Pr (0.0000, 0.0000, 0.1682) x2  12 Pb 3.48-3.52
Er (0.0000, 0.0000, 0.5000) x1  12 Pb 3.42-3.48
Pb (0.0000, 0.5000, 0.0000) x2  8 Pb 3.48-3.50, 4 Pr 3.49
Pb (0.0000, 0.5000, 0.3385) x4  8 Pb 3.42-3.51, 2 Er 3.42, 2 Pr 3.52
Pb (0.5000, 0.5000, 0.1692) x2  4 Pr 3.48, 8 Pb 3.50-3.51
Pb (0.5000, 0.5000, 0.5000) x1  8 Pb 3.42, 4 Er 3.48

Total energy (eV per cell): -51.56



[6]
The following is a DFT calculation (PBE-GGA) of a geometry-optimized RePRhO2 structure.

Unit cell a=3.7041 b=3.7041 c=5.2874 alpha=90.00 beta=90.00 gamma=90.00
Last column: nearest neighbours and their distance in Å.
Space group P4/mmm (No. 123)
Inequivalent atoms, fractional coordinates:
Re (0.0000, 0.0000, 0.0000) x1  4 O 1.85
P (0.0000, 0.0000, 0.5000) x1  4 Rh 2.62, 2 Re 2.64
Rh (0.5000, 0.5000, 0.5000) x1  4 P 2.62
O (0.0000, 0.5000, 0.0000) x2  2 Re 1.85

Formation energy without anion corrections (eV per formula unit): -2.34



[7]
The following is a DFT calculation (PBE-GGA) of a geometry-optimized CaLaTlCu structure.

Unit cell a=7.5962 b=7.5962 c=7.5962 alpha=90.00 beta=90.00 gamma=90.00
Last column: nearest neighbours and their distance in Å.
Space group F-43m (No. 216)
Inequivalent atoms, fractional coordinates:
Ca (0.0000, 0.0000, 0.0000) x4  4 Tl 3.29, 4 Cu 3.29
La (0.0000, 0.0000, 0.5000) x4  4 Tl 3.29, 4 Cu 3.29
Tl (0.2500, 0.2500, 0.7500) x4  4 La 3.29, 4 Ca 3.29
Cu (0.2500, 0.2500, 0.2500) x4  4 La 3.29, 4 Ca 3.29

Total energy (eV per cell): -57.64



[8]
The following is a DFT calculation (PBE-GGA) of a geometry-optimized CaAs2RhBr structure.

Unit cell a=5.4119 b=5.4119 c=5.2977 alpha=90.00 beta=90.00 gamma=90.00
Last column: nearest neighbours and their distance in Å.
Space group P4/mmm (No. 123)
Inequivalent atoms, fractional coordinates:
Ca (0.0000, 0.0000, 0.0000) x1  2 Br 2.65, 4 As 2.71
As (0.0000, 0.5000, 0.0000) x2  2 Ca 2.71
Rh (0.5000, 0.5000, 0.5000) x1  8 As 3.79, 4 Br 3.83
Br (0.0000, 0.0000, 0.5000) x1  2 Ca 2.65

Formation energy without anion corrections (eV per formula unit): 4.60